1.
Density functional theory data (GGA-PBE) for an optimized crystal structure of HfCuPdPb.

The distance to the lowest polymorph of the same formula comes out at 0.1198 eV/atom. The volume comes out at 18.585 Å³ per atom.

It has space group F-43m (No. 216), with a = 6.675 Å, b = 6.675 Å, c = 6.675 Å, α = 90.00°, β = 90.00° and γ = 90.00°. Symmetry generates all atoms from Hf at (0.000, 0.000, 0.000), Cu at (0.000, 0.000, 0.500), Pd at (0.250, 0.250, 0.750) and Pb at (0.250, 0.250, 0.250).

***

2.
Density functional theory data (GGA-PBE) for an optimized crystal structure of PrFe3Sb4.

The energy comes out at -5.58 eV/atom. The volume comes out at 25.439 Å³ per atom.

It has space group I-42m (No. 121), with a = 6.780 Å, b = 6.780 Å, c = 8.853 Å, α = 90.00°, β = 90.00° and γ = 90.00°. Symmetry generates all atoms from Pr at (0.000, 0.000, 0.000), Fe at (0.000, 0.000, 0.500), Fe at (0.000, 0.500, 0.250) and Sb at (0.196, 0.196, 0.313).

***

3.
Density functional theory data (GGA-PBE) for an optimized crystal structure of TbZrTe2As2.

The energy comes out at -5.67 eV/atom. The volume comes out at 25.043 Å³ per atom.

It has space group Imm2 (No. 44), with a = 3.769 Å, b = 5.573 Å, c = 14.308 Å, α = 90.00°, β = 90.00° and γ = 90.00°. Symmetry generates all atoms from Tb at (0.000, 0.000, 0.000), Zr at (0.000, 0.000, 0.246), Te at (0.000, 0.500, 0.324), Te at (0.000, 0.500, 0.909) and As at (0.000, 0.241, 0.634).

***

4.
Density functional theory data (GGA-PBE) for an optimized crystal structure of LiNdOs.

The distance to the lowest polymorph of the same formula comes out at 0.3372 eV/atom. The volume comes out at 22.801 Å³ per atom.

It has space group F-43m (No. 216), with a = 6.492 Å, b = 6.492 Å, c = 6.492 Å, α = 90.00°, β = 90.00° and γ = 90.00°. Symmetry generates all atoms from Li at (0.000, 0.000, 0.000), Nd at (0.250, 0.250, 0.250) and Os at (0.000, 0.000, 0.500).

***

5.
Density functional theory data (GGA-PBE) for an optimized crystal structure of TbErS2Cl2.

The energy comes out at -5.71 eV/atom. The volume comes out at 29.489 Å³ per atom.

It has space group Pmm2 (No. 25), with a = 3.987 Å, b = 5.351 Å, c = 8.292 Å, α = 90.00°, β = 90.00° and γ = 90.00°. Symmetry generates all atoms from Tb at (0.000, 0.000, 0.000), Er at (0.500, 0.500, 0.279), S at (0.000, 0.500, 0.055), S at (0.500, 0.000, 0.230), Cl at (0.000, 0.500, 0.489) and Cl at (0.500, 0.000, 0.784).

***

6.
Density functional theory data (GGA-PBE) for an optimized crystal structure of CdCu2Br4.

The energy comes out at -2.65 eV/atom. The volume comes out at 28.545 Å³ per atom.

It has space group I-4 (No. 82), with a = 5.925 Å, b = 5.925 Å, c = 11.382 Å, α = 90.00°, β = 90.00° and γ = 90.00°. Symmetry generates all atoms from Cd at (0.000, 0.000, 0.000), Cu at (0.000, 0.000, 0.500), Cu at (0.000, 0.500, 0.750) and Br at (0.231, 0.759, 0.630).